1.
A geometry-optimized CaAgPtCl6 structure. Source: Alexandria via LeMat-Bulk, functional PBE.

Geometry as extended XYZ:
```
18
Lattice="6.6070 0.0000 0.0000 -3.3035 5.7218 0.0000 0.0000 0.0000 11.9586" Properties=species:S:1:pos:R:3 pbc="T T T"
Cl 2.2833 0.2058 1.5490
Cl -1.0202 5.5160 7.5283
Cl 4.2669 3.6415 4.4303
Cl 1.9836 3.8473 7.5283
Cl 4.3236 0.2058 4.4303
Cl 1.0202 5.5160 10.4096
Cl 5.2871 1.8745 1.5490
Cl 1.3199 1.8745 4.4303
Cl -0.9634 2.0803 7.5283
Cl -1.9836 3.8473 10.4096
Cl 2.3400 3.6415 1.5490
Cl 0.9634 2.0803 10.4096
Pt 3.3035 1.9073 2.9896
Pt 0.0000 3.8145 8.9689
Ag 0.0000 0.0000 0.0000
Ag 0.0000 0.0000 5.9793
Ca 3.3035 1.9073 8.9689
Ca 0.0000 3.8145 2.9896
```

Summary:
N(E_F): 3.6 states/eV/f.u.
Space group: P-31c (163)
E_form (uncorrected): -1007 meV/atom
Total magnetic moment: 0.11 μB/atom
E: -0.127 Ha/atom

2.
A geometry-optimized CaPuAg2Cl8 structure. Source: Alexandria via LeMat-Bulk, functional PBE.

Geometry as extended XYZ:
```
12
Lattice="-5.8504 0.9109 2.8662 -1.5559 -5.5857 -2.6826 2.6476 -3.9441 6.6662" Properties=species:S:1:pos:R:3 pbc="T T T"
Ag -1.7332 -5.2689 5.0501
Ag -3.0254 -3.3500 1.7996
Cl -1.0208 -3.2525 3.5073
Cl -1.5842 -5.2157 -0.0771
Cl -3.7379 -5.3664 3.3425
Cl -0.1891 -7.2963 3.4383
Cl -5.1180 -3.3767 0.0408
Cl 0.3593 -5.2422 6.8090
Cl -4.5696 -1.3226 3.4115
Cl -3.1745 -3.4032 6.9269
Pu 0.0000 0.0000 0.0000
Ca 1.3238 -1.9721 3.3331
```

Summary:
N(E_F): 7.8 states/eV/f.u.
Space group: P2/m (10)
E_form (uncorrected): -1425 meV/atom
Total magnetic moment: 0.33 μB/atom
E: -0.165 Ha/atom

3.
A geometry-optimized CaPuAgCl6 structure. Source: Alexandria via LeMat-Bulk, functional PBE.

Geometry as extended XYZ:
```
18
Lattice="-6.0954 -3.1252 1.5851 3.3870 -1.7008 -5.9219 5.9509 -8.6242 5.8806" Properties=species:S:1:pos:R:3 pbc="T T T"
Cl 1.2782 -4.8571 0.7193
Cl -4.1677 -4.7974 0.3210
Cl 4.2788 -9.1654 3.6396
Cl 4.8798 -6.0055 1.6689
Cl 5.0436 -8.1728 -1.6754
Cl 1.9643 -8.5930 0.8245
Cl 7.4101 -8.6527 1.2228
Cl -1.8012 -5.2773 3.2192
Cl -1.0364 -4.2847 -2.0958
Cl -1.6373 -7.4447 -0.1251
Cl 4.5595 -11.2729 0.2649
Cl -1.3170 -2.1773 1.2789
Pu 4.6894 -8.6437 0.9909
Pu -1.4469 -4.8064 0.5529
Ca 1.5285 -9.1185 3.4932
Ca 1.7139 -4.3316 -1.9494
Ag 2.9754 -4.3121 2.9403
Ag 0.0000 0.0000 0.0000
```

Summary:
N(E_F): 10.8 states/eV/f.u.
Space group: P-31c (163)
E_form (uncorrected): -1714 meV/atom
Total magnetic moment: 0.56 μB/atom
E: -0.187 Ha/atom

4.
A geometry-optimized Rb2CaAgCl6 structure. Source: Alexandria via LeMat-Bulk, functional PBE.

Geometry as extended XYZ:
```
10
Lattice="5.3107 0.0000 0.0000 0.0000 5.3107 0.0000 0.0000 0.0000 10.5887" Properties=species:S:1:pos:R:3 pbc="T T T"
Cl 2.6554 0.0000 5.2944
Cl 2.6554 2.6554 2.7421
Cl 0.0000 2.6554 5.2944
Cl 2.6554 2.6554 7.8466
Cl 0.0000 2.6554 0.0000
Cl 2.6554 0.0000 0.0000
Ca 2.6554 2.6554 0.0000
Rb 0.0000 0.0000 7.7984
Rb 0.0000 0.0000 2.7903
Ag 2.6554 2.6554 5.2944
```

Summary:
N(E_F): 4.6 states/eV/f.u.
Space group: P4/mmm (123)
Distance to the lowest polymorph of the same formula: 0.000 eV per atom
E_form (uncorrected): -1613 meV/atom
Total magnetic moment: 0.00 μB/atom
E: -0.125 Ha/atom

5.
A geometry-optimized Rb2CaAg2Cl7 structure. Source: Alexandria via LeMat-Bulk, functional PBE.

Geometry as extended XYZ:
```
12
Lattice="5.3174 -0.4614 0.1298 -0.4550 5.3180 0.1298 2.7036 2.7003 13.1193" Properties=species:S:1:pos:R:3 pbc="T T T"
Cl 2.5908 2.5877 5.1381
Cl 4.9752 4.9691 8.2409
Cl 2.4312 2.4283 0.1298
Cl 4.4749 2.1282 11.0507
Cl 3.0912 5.4286 2.3283
Cl 2.1336 4.4723 11.0507
Cl 5.4324 3.0845 2.3283
Ca 0.0000 0.0000 0.0000
Rb 5.0629 5.0567 4.9553
Rb 2.5031 2.5001 8.4237
Ag 2.6494 2.6462 2.6124
Ag 4.9167 4.9107 10.7666
```

Summary:
N(E_F): 3.3 states/eV/f.u.
Space group: C2/m (12)
E_form (uncorrected): -1328 meV/atom
Total magnetic moment: 0.00 μB/atom
E: -0.118 Ha/atom

6.
A geometry-optimized Rb2CaAgCl6 structure. Source: Alexandria via LeMat-Bulk, functional PBE.

Geometry as extended XYZ:
```
10
Lattice="-6.9647 -0.9829 2.8902 -1.5429 -5.0789 -5.4452 -2.4452 -6.8577 1.7794" Properties=species:S:1:pos:R:3 pbc="T T T"
Cl -2.8959 -4.0567 -3.3651
Cl -6.3845 -4.5491 -1.9174
Cl -3.3083 -5.0314 0.3205
Cl -7.6445 -7.8881 -1.0962
Cl -5.6117 -2.0051 0.8100
Cl -2.1231 -1.5127 -0.6376
Rb -6.8319 -5.4357 1.6960
Rb -4.1209 -7.4838 -2.4717
Ag 0.0000 0.0000 0.0000
Ca -4.2538 -3.0309 -1.2775
```

Summary:
N(E_F): 5.0 states/eV/f.u.
Space group: I4/mmm (139)
Distance to the lowest polymorph of the same formula: 0.039 eV per atom
E_form (uncorrected): -1574 meV/atom
Total magnetic moment: 0.10 μB/atom
E: -0.124 Ha/atom

7.
A geometry-optimized Rb3CaAg2Cl9 structure. Source: Alexandria via LeMat-Bulk, functional PBE.

Geometry as extended XYZ:
```
15
Lattice="7.4139 0.0000 0.0000 -3.7069 6.4206 0.0000 0.0000 0.0000 9.1345" Properties=species:S:1:pos:R:3 pbc="T T T"
Ag 3.7069 2.1402 7.6993
Ag 0.0000 4.2804 1.4351
Cl -1.8238 5.3334 2.9716
Cl 1.8535 3.2103 0.0000
Cl 0.0000 2.1745 2.9716
Cl 3.7069 0.0000 0.0000
Cl -1.8535 3.2103 0.0000
Cl 3.7069 4.2461 6.1629
Cl 1.8238 5.3334 2.9716
Cl 5.5307 1.0872 6.1629
Cl 1.8832 1.0872 6.1629
Rb 3.7069 2.1402 3.0483
Rb 0.0000 4.2804 6.0862
Rb 0.0000 0.0000 0.0000
Ca 0.0000 0.0000 4.5672
```

Summary:
N(E_F): 4.3 states/eV/f.u.
Space group: P-3m1 (164)
E_form (uncorrected): -1408 meV/atom
Total magnetic moment: 0.00 μB/atom
E: -0.118 Ha/atom

8.
A geometry-optimized CaAg2RhCl8 structure. Source: Alexandria via LeMat-Bulk, functional PBE.

Geometry as extended XYZ:
```
12
Lattice="6.3329 -0.4089 -0.0034 -0.4276 6.2086 -0.0067 0.0043 0.0096 7.7441" Properties=species:S:1:pos:R:3 pbc="T T T"
Ag 2.9532 2.9027 1.8785
Ag 2.9564 2.9065 5.8555
Cl 3.6359 4.3753 3.8651
Cl 0.5527 4.8494 6.0592
Cl 3.9709 4.4110 7.7365
Cl 0.5500 4.8436 1.6736
Cl 1.9388 1.3983 -0.0026
Cl 2.2738 1.4340 3.8689
Cl 5.3569 0.9599 1.6747
Cl 5.3597 0.9657 6.0603
Ca 0.0022 0.0048 3.8720
Rh 0.0000 0.0000 0.0000
```

Summary:
N(E_F): 8.4 states/eV/f.u.
Space group: P2/m (10)
E_form (uncorrected): -932 meV/atom
Total magnetic moment: 0.00 μB/atom
E: -0.126 Ha/atom

9.
A geometry-optimized CaAgRhCl6 structure. Source: Alexandria via LeMat-Bulk, functional PBE.

Geometry as extended XYZ:
```
18
Lattice="-5.3955 -2.1138 3.1272 5.5606 -3.5155 0.2851 3.2499 5.9199 9.6086" Properties=species:S:1:pos:R:3 pbc="T T T"
Cl 6.3173 2.7139 8.6766
Cl 1.0337 0.2316 4.8154
Cl 4.7772 0.4541 10.5897
Cl -0.4873 -2.0402 6.7295
Cl 2.3813 0.0590 8.2056
Cl -2.1720 0.6321 5.6529
Cl 0.3039 -2.8430 3.5186
Cl -1.3622 -0.1635 2.4313
Cl 3.1110 3.1337 9.5024
Cl 3.9023 2.3309 6.2915
Cl 5.5870 -0.3414 7.3681
Cl -2.9023 -2.4232 4.3444
Rh 4.3460 1.3917 8.4390
Rh -0.9310 -1.1010 4.5820
Ag 0.0000 0.0000 0.0000
Ag 1.6250 2.9599 4.8043
Ca 2.7210 -1.5682 3.6346
Ca 0.6939 1.8589 9.3863
```

Summary:
Space group: P-31c (163)
E_form (uncorrected): -1136 meV/atom
Total magnetic moment: 0.00 μB/atom
E: -0.137 Ha/atom

10.
A geometry-optimized CaAgRuCl6 structure. Source: Alexandria via LeMat-Bulk, functional PBE.

Geometry as extended XYZ:
```
18
Lattice="-6.3820 -0.8521 -1.4463 4.2903 -4.9174 -0.9795 -1.9588 -3.8869 10.9337" Properties=species:S:1:pos:R:3 pbc="T T T"
Cl -2.3751 -6.2605 5.3328
Cl -1.5826 -8.6366 7.6619
Cl -1.6754 -3.3960 3.1751
Cl 0.9019 -6.6907 8.7987
Cl 0.1139 -4.3199 6.4686
Cl -4.9523 -2.9657 -0.2908
Cl -4.1644 -5.3366 2.0393
Cl -1.8192 -4.1557 -0.1526
Cl -2.4679 -1.0199 0.8460
Cl -4.8062 -2.1999 3.0394
Cl -2.2312 -5.5008 8.6605
Cl 0.7558 -7.4566 5.4685
Ca 0.2432 -4.5341 1.5983
Ca -4.2936 -5.1224 6.9096
Ru -0.7362 -6.4775 7.0652
Ru -3.3142 -3.1790 1.4427
Ag -0.9794 -1.9435 5.4669
Ag 0.0000 0.0000 0.0000
```

Summary:
N(E_F): 8.3 states/eV/f.u.
Space group: P-31c (163)
E_form (uncorrected): -1078 meV/atom
Total magnetic moment: 0.11 μB/atom
E: -0.143 Ha/atom

> Which of these has the lowest E_form (uncorrected)?

CaPuAgCl6